No. 1
Material: SmPdPtAu
Method: DFT, GGA-PBE
State: relaxed

Properties
Energy of formation, eV per atom: -0.811
N(E_F), states/eV/atom: 0.23
Energy relative to the lowest polymorph listed for this composition, eV/atom: 0.000

abc: 4.0520 4.3002 4.3288
angles: 90.00 90.00 90.00
Space group Pmmm (No. 47)
Inequivalent atoms, fractional coordinates:
1 Sm 0.0000 0.0000 0.0000 x1
2 Pd 0.5000 0.5000 0.0000 x1
3 Pt 0.5000 0.0000 0.5000 x1
4 Au 0.0000 0.5000 0.5000 x1


No. 2
Material: CeY5Tm
Method: DFT, GGA-PBE
State: relaxed

Properties
Energy of formation, eV per atom: 0.210
N(E_F), states/eV/atom: 2.36

abc: 6.2695 6.4707 6.5209
angles: 117.65 95.30 95.74
Space group P-1 (No. 2)
Inequivalent atoms, fractional coordinates:
1 Ce 0.0000 0.0000 0.0000 x1
2 Y 0.0000 0.0000 0.5000 x1
3 Y 0.2667 0.5739 0.0727 x2
4 Y 0.4986 0.8131 0.6849 x2
5 Tm 0.0000 0.5000 0.5000 x1


No. 3
Material: Sr4BeTe
Method: DFT, GGA-PBE
State: relaxed

Properties
Formation energy without anion corrections, eV per atom: 0.516
N(E_F), states/eV/atom: 1.29

abc: 10.0201 10.0201 10.0201
angles: 90.00 90.00 90.00
Space group F-43m (No. 216)
Inequivalent atoms, fractional coordinates:
1 Sr 0.1248 0.1248 0.1248 x16
2 Be 0.0000 0.0000 0.5000 x4
3 Te 0.2500 0.2500 0.7500 x4


No. 4
Material: LaTc3Ni
Method: DFT, GGA-PBE
State: relaxed

Properties
Energy of formation, eV per atom: 0.962
N(E_F), states/eV/atom: 1.96
Energy relative to the lowest polymorph listed for this composition, eV/atom: 0.000

abc: 4.5894 4.5894 4.5894
angles: 90.00 90.00 90.00
Space group Pm-3m (No. 221)
Inequivalent atoms, fractional coordinates:
1 La 0.0000 0.0000 0.0000 x1
2 Tc 0.0000 0.5000 0.5000 x3
3 Ni 0.5000 0.5000 0.5000 x1


No. 5
Material: Sr3HgAu
Method: DFT, GGA-PBE
State: relaxed

Properties
Energy of formation, eV per atom: -0.355
N(E_F), states/eV/atom: 0.66
Energy relative to the lowest polymorph listed for this composition, eV/atom: 0.197

abc: 6.0443 6.0443 6.0443
angles: 90.00 90.00 90.00
Space group Pm-3m (No. 221)
Inequivalent atoms, fractional coordinates:
1 Sr 0.0000 0.0000 0.5000 x3
2 Hg 0.5000 0.5000 0.5000 x1
3 Au 0.0000 0.0000 0.0000 x1


No. 6
Material: CuTePbI2
Method: DFT, GGA-PBE
State: relaxed

Properties
Formation energy without anion corrections, eV per atom: 0.687
N(E_F), states/eV/atom: 0.88
Energy relative to the lowest polymorph listed for this composition, eV/atom: 0.651

abc: 5.9464 5.9464 6.4104
angles: 90.00 90.00 90.00
Space group P4/mmm (No. 123)
Inequivalent atoms, fractional coordinates:
1 Cu 0.0000 0.0000 0.0000 x1
2 Te 0.5000 0.5000 0.5000 x1
3 Pb 0.5000 0.5000 0.0000 x1
4 I 0.0000 0.5000 0.5000 x2


No. 7
Material: Yb5Sb3
Method: DFT, GGA-PBE
State: relaxed

Properties
Formation energy without anion corrections, eV per atom: -0.983
N(E_F), states/eV/atom: 8.98

abc: 9.0075 9.0075 6.7640
angles: 90.00 90.00 120.00
Space group P6_3/mcm (No. 193)
Inequivalent atoms, fractional coordinates:
1 Yb 0.0000 0.2496 0.2500 x6
2 Yb 0.3333 0.6667 0.0000 x4
3 Sb 0.0000 0.3910 0.7500 x6


No. 8
Material: Sc2UMn2C4
Method: DFT, GGA-PBE
State: relaxed

Properties
Energy of formation, eV per atom: -0.214
N(E_F), states/eV/atom: 0.76

abc: 12.2876 3.1699 5.6695
angles: 90.00 110.65 90.00
Space group C2/m (No. 12)
Inequivalent atoms, fractional coordinates:
1 Sc 0.1452 0.0000 0.0492 x4
2 U 0.0000 0.0000 0.5000 x2
3 Mn 0.1709 0.5000 0.4808 x4
4 C 0.0111 0.5000 0.1375 x4
5 C 0.2220 0.0000 0.7149 x4


For the records above, the corresponding calculated total energy values read -22.47 -41.25 -42.00 -37.00 -10.40 -10.61 -55.72 -162.23 eV per cell.